This record from Alexandria via LeMat-Bulk describes a geometry-optimized Y2MgZn structure. The functional is PBE.

POSCAR file:
```
Y2MgZn
1.0
-1.8346 1.8398 8.3053
1.8346 -1.8398 8.3053
1.8346 1.8398 -8.3053
Y Mg Zn
2 1 1
direct
0.1756 0.1756 0.0000
0.8244 0.8244 0.0000
0.5000 0.5000 0.0000
0.0000 0.0000 0.0000
```

Results
Space-group type: Immm, No. 71
Polymorph energy (0 for the lowest one), meV per atom: 348
Formation enthalpy at 0 K, kJ/mol of formula units: 45

=====

This record from Alexandria via LeMat-Bulk describes a geometry-optimized SmDyH structure. The functional is PBE.

POSCAR file:
```
SmDyH
1.0
-1.7025 1.7025 6.0787
1.7025 -1.7025 6.0787
1.7025 1.7025 -6.0787
Sm Dy H
1 1 1
direct
0.0000 0.0000 0.0000
0.2898 0.2898 0.0000
0.4727 0.4727 0.0000
```

Results
Space-group type: I4mm, No. 107
Polymorph energy (0 for the lowest one), meV per atom: 102

=====

This record from Alexandria via LeMat-Bulk describes a geometry-optimized CaTbPuO6 structure. The functional is PBE.

POSCAR file:
```
CaTbPuO6
1.0
5.7038 0.0000 0.0000
-2.8519 4.9397 0.0000
0.0000 0.0000 9.4522
Ca Tb Pu O
2 2 2 12
direct
0.3333 0.6667 0.2500
0.6667 0.3333 0.7500
0.0000 0.0000 0.0000
0.0000 0.0000 0.5000
0.3333 0.6667 0.7500
0.6667 0.3333 0.2500
0.0428 0.3653 0.6326
0.0428 0.6775 0.8674
0.3225 0.3653 0.8674
0.3225 0.9572 0.6326
0.3653 0.0428 0.1326
0.3653 0.3225 0.3674
0.6347 0.6775 0.6326
0.6347 0.9572 0.8674
0.6775 0.0428 0.3674
0.6775 0.6347 0.1326
0.9572 0.3225 0.1326
0.9572 0.6347 0.3674
```

Results
Space-group type: P-31c, No. 163
E_form (uncorrected), meV per atom: -2835

=====

This record from Alexandria via LeMat-Bulk describes a geometry-optimized Ac6Au2N structure. The functional is PBE.

POSCAR file:
```
Ac6Au2N
1.0
7.1065 0.0000 0.0000
0.0000 7.8307 0.0000
-7.0570 0.0000 10.9361
Ac Au N
12 4 2
direct
0.1021 0.0293 0.2372
0.1021 0.4707 0.7372
0.2231 0.7024 0.0592
0.2231 0.7976 0.5592
0.3715 0.1761 0.0583
0.3715 0.3239 0.5583
0.6285 0.6761 0.4417
0.6285 0.8239 0.9417
0.7769 0.2024 0.4408
0.7769 0.2976 0.9408
0.8979 0.5293 0.2628
0.8979 0.9707 0.7628
0.3120 0.1046 0.7464
0.3120 0.3954 0.2464
0.6880 0.6046 0.7536
0.6880 0.8954 0.2536
0.0000 0.0000 0.0000
0.0000 0.5000 0.5000
```

Results
Space-group type: P2_1/c, No. 14
E_form (uncorrected), meV per atom: -609

=====

This record from Alexandria via LeMat-Bulk describes a geometry-optimized LaInIrO6 structure. The functional is PBE.

POSCAR file:
```
LaInIrO6
1.0
5.4686 0.0000 0.0000
-2.7343 4.7359 0.0000
0.0000 0.0000 10.1829
La In Ir O
2 2 2 12
direct
0.0000 0.0000 0.0000
0.0000 0.0000 0.5000
0.3333 0.6667 0.2500
0.6667 0.3333 0.7500
0.3333 0.6667 0.7500
0.6667 0.3333 0.2500
0.0320 0.3788 0.6410
0.0320 0.6532 0.8590
0.3468 0.3788 0.8590
0.3468 0.9680 0.6410
0.3788 0.0320 0.1410
0.3788 0.3468 0.3590
0.6212 0.6532 0.6410
0.6212 0.9680 0.8590
0.6532 0.0320 0.3590
0.6532 0.6212 0.1410
0.9680 0.3468 0.1410
0.9680 0.6212 0.3590
```

Results
Space-group type: P-31c, No. 163
E_form (uncorrected), meV per atom: -1661

=====

This record from Alexandria via LeMat-Bulk describes a geometry-optimized KCuI2 structure. The functional is PBE.

POSCAR file:
```
KCuI2
1.0
0.0000 4.0008 4.0008
4.0008 0.0000 4.0008
4.0008 4.0008 0.0000
K Cu I
1 1 2
direct
0.0000 0.0000 0.0000
0.5000 0.5000 0.5000
0.2500 0.2500 0.2500
0.7500 0.7500 0.7500
```

Results
Space-group type: Fm-3m, No. 225
Polymorph energy (0 for the lowest one), meV per atom: 487
E_form (uncorrected), meV per atom: -310

=====

This record from Alexandria via LeMat-Bulk describes a geometry-optimized Ta3Ru3Pt structure. The functional is PBE.

POSCAR file:
```
Ta3Ru3Pt
1.0
4.3709 -4.5190 0.0000
4.3709 4.5190 0.0000
0.0000 0.0000 5.9625
Ta Ru Pt
6 6 2
direct
0.1978 0.8022 0.0000
0.2339 0.2339 0.5000
0.2580 0.7420 0.5000
0.7420 0.2580 0.5000
0.7661 0.7661 0.5000
0.8022 0.1978 0.0000
0.0000 0.5000 0.2509
0.0000 0.5000 0.7491
0.5000 0.0000 0.2509
0.5000 0.0000 0.7491
0.5000 0.5000 0.2404
0.5000 0.5000 0.7596
0.2185 0.2185 0.0000
0.7815 0.7815 0.0000
```

Results
Space-group type: Cmmm, No. 65
Formation enthalpy at 0 K, kJ/mol of formula units: -117

=====

This record from Alexandria via LeMat-Bulk describes a geometry-optimized ScCo3Br structure. The functional is PBE.

POSCAR file:
```
ScCo3Br
1.0
4.6255 0.0000 0.0000
0.0000 4.6255 0.0000
0.0000 0.0000 4.6255
Sc Co Br
1 3 1
direct
0.0000 0.0000 0.0000
0.0000 0.0000 0.5000
0.0000 0.5000 0.0000
0.5000 0.0000 0.0000
0.5000 0.5000 0.5000
```

Results
Space-group type: Pm-3m, No. 221
Polymorph energy (0 for the lowest one), meV per atom: 700
E_form (uncorrected), meV per atom: 1425

=====

This record from Alexandria via LeMat-Bulk describes a geometry-optimized NaPdS2O6 structure. The functional is PBE.

POSCAR file:
```
NaPdS2O6
1.0
2.5418 1.4675 6.0493
-2.5418 1.4675 6.0493
0.0000 -2.9351 6.0493
Na Pd S O
1 1 2 6
direct
0.0000 0.0000 0.0000
0.5000 0.5000 0.5000
0.2677 0.2677 0.2677
0.7323 0.7323 0.7323
0.0568 0.4866 0.7310
0.2690 0.9432 0.5134
0.4866 0.7310 0.0568
0.5134 0.2690 0.9432
0.7310 0.0568 0.4866
0.9432 0.5134 0.2690
```

Results
Space-group type: R-3, No. 148
E_form (uncorrected), meV per atom: -1029

=====

This record from Alexandria via LeMat-Bulk describes a geometry-optimized MgTeCl2 structure. The functional is PBE.

POSCAR file:
```
MgTeCl2
1.0
-2.0244 2.0244 6.0458
2.0244 -2.0244 6.0458
2.0244 2.0244 -6.0458
Mg Te Cl
1 1 2
direct
0.0000 0.0000 0.0000
0.2500 0.7500 0.5000
0.5000 0.5000 0.0000
0.7500 0.2500 0.5000
```

Results
Space-group type: I-4m2, No. 119
Polymorph energy (0 for the lowest one), meV per atom: 767
E_form (uncorrected), meV per atom: -426

=====

This record from Alexandria via LeMat-Bulk describes a geometry-optimized Cs5Ge4 structure. The functional is PBE.

POSCAR file:
```
Cs5Ge4
1.0
6.0669 -3.2216 0.0000
6.0669 3.2216 0.0000
-5.5278 0.0000 10.0742
Cs Ge
5 4
direct
0.0000 0.0000 0.0000
0.2950 0.2950 0.4508
0.4024 0.4024 0.1622
0.5976 0.5976 0.8378
0.7050 0.7050 0.5492
0.0522 0.0522 0.6270
0.2670 0.2670 0.7890
0.7330 0.7330 0.2110
0.9478 0.9478 0.3730
```

Results
Space-group type: C2/m, No. 12
Formation enthalpy at 0 K, kJ/mol of formula units: -65

=====

This record from Alexandria via LeMat-Bulk describes a geometry-optimized Tb2Pm6Pr3Tl structure. The functional is PBE.

POSCAR file:
```
Tb2Pm6Pr3Tl
1.0
3.1351 -5.4504 0.0000
3.1351 5.4504 0.0000
-2.1418 0.0000 11.7205
Tb Pm Pr Tl
2 6 3 1
direct
0.1657 0.8343 0.0000
0.8343 0.1657 0.0000
0.0938 0.4201 0.7574
0.2543 0.2543 0.2450
0.4201 0.0938 0.7574
0.5799 0.9062 0.2426
0.7457 0.7457 0.7550
0.9062 0.5799 0.2426
0.0000 0.0000 0.5000
0.3310 0.6690 0.5000
0.6690 0.3310 0.5000
0.5000 0.5000 0.0000
```

Results
Space-group type: C2/m, No. 12
Formation enthalpy at 0 K, kJ/mol of formula units: -14